Compound: LaCoS2O8
Source: the Alexandria database
Functional: PBE with a Hubbard U
Structure: optimized geometry

a b c (Å): 5.2303 5.2303 6.9984
angles (deg): 90.00 90.00 120.00
Positions (direct):
La: 0.0000 0.0000 0.0000
Co: 0.0000 0.0000 0.5000
S: 0.3333 0.6667 0.2184
S: 0.6667 0.3333 0.7816
O: 0.1771 0.3541 0.2835
O: 0.1771 0.8229 0.2835
O: 0.3333 0.6667 0.0036
O: 0.3541 0.1771 0.7165
O: 0.6459 0.8229 0.2835
O: 0.6667 0.3333 0.9964
O: 0.8229 0.1771 0.7165
O: 0.8229 0.6459 0.7165

Calculated values
Its space group is P-3m1, No. 164. The value obtained for the magnetization is 2.00 μB per cell. The value obtained for the raw total energy is -78.78 eV/cell. As for the volume: 165.8 Å³/f.u.